GaCuO3 | GGA-PBEsol | optimized geometry

Properties
raw total energy = -5.048 eV/atom
formation energy without anion corrections = -0.3632 eV per atom

```
5
Lattice="3.781 0.000 0.000 0.000 3.781 0.000 0.000 0.000 3.781" Properties=species:S:1:pos:R:3 pbc="T T T"
O 0.000 0.000 1.890
O 1.890 0.000 0.000
O 0.000 1.890 0.000
Cu 1.890 1.890 1.890
Ga 0.000 0.000 0.000
```